PBE Pm5Nd2ErSc, optimized geometry; energy of formation from the pure elements = 0.118 eV per atom; M_tot = 0.000 μB per formula unit; electronic total energy = -4.791 eV/atom
1.0
2.705 -11.030 0.000
2.705 11.030 0.000
0.000 0.000 10.177
Pm Nd Er Sc
10 4 2 2
direct
0.000 0.000 0.000
0.000 0.000 0.500
0.128 0.872 0.750
0.222 0.778 0.438
0.223 0.777 0.063
0.500 0.500 0.250
0.500 0.500 0.750
0.777 0.223 0.563
0.778 0.222 0.938
0.872 0.128 0.250
0.384 0.616 0.003
0.384 0.616 0.497
0.616 0.384 0.503
0.616 0.384 0.997
0.103 0.897 0.250
0.897 0.103 0.750
0.288 0.712 0.751
0.712 0.288 0.251


PBE Pm4NdEr2Sc, optimized geometry; energy of formation from the pure elements = 0.025 eV per atom; M_tot = 0.000 μB per formula unit; electronic total energy = -4.879 eV/atom
1.0
5.058 0.000 0.000
0.000 5.058 0.000
0.000 0.000 10.047
Pm Nd Er Sc
4 1 2 1
direct
0.000 0.500 0.249
0.000 0.500 0.751
0.500 0.000 0.249
0.500 0.000 0.751
0.000 0.000 0.000
0.000 0.000 0.500
0.500 0.500 0.500
0.500 0.500 0.000


PBE PmNd5Er2Sc, optimized geometry; energy of formation from the pure elements = 0.129 eV per atom; M_tot = 0.000 μB per formula unit; electronic total energy = -4.765 eV/atom
1.0
2.688 -10.961 0.000
2.688 10.961 0.000
0.000 0.000 10.286
Pm Nd Er Sc
2 10 4 2
direct
0.101 0.899 0.500
0.899 0.101 0.000
0.000 0.000 0.250
0.000 0.000 0.750
0.126 0.874 0.000
0.221 0.779 0.689
0.222 0.778 0.313
0.498 0.502 0.500
0.502 0.498 0.000
0.778 0.222 0.813
0.779 0.221 0.189
0.874 0.126 0.500
0.383 0.617 0.752
0.384 0.616 0.248
0.616 0.384 0.748
0.617 0.383 0.252
0.284 0.716 0.001
0.716 0.284 0.501


PBE PmNd4Er2Sc, optimized geometry; energy of formation from the pure elements = 0.028 eV per atom; M_tot = 0.000 μB per formula unit; electronic total energy = -4.882 eV/atom
1.0
5.082 0.000 0.000
0.000 5.099 0.000
0.000 0.000 10.010
Pm Nd Er Sc
1 4 2 1
direct
0.000 0.000 0.000
0.000 0.500 0.248
0.000 0.500 0.752
0.500 0.000 0.248
0.500 0.000 0.752
0.000 0.000 0.500
0.500 0.500 0.500
0.500 0.500 0.000


PBE Pm3NdErSc, optimized geometry; energy of formation from the pure elements = 0.043 eV per atom; M_tot = 0.000 μB per formula unit; electronic total energy = -4.942 eV/atom
1.0
7.936 0.000 0.000
0.000 5.079 0.000
-3.250 0.000 9.586
Pm Nd Er Sc
6 2 2 2
direct
0.172 0.250 0.045
0.173 0.750 0.790
0.177 0.250 0.542
0.823 0.750 0.458
0.827 0.250 0.210
0.828 0.750 0.955
0.176 0.750 0.297
0.824 0.250 0.703
0.500 0.250 0.873
0.500 0.750 0.127
0.500 0.250 0.377
0.500 0.750 0.623


PBE PmNdEr3Sc, optimized geometry; energy of formation from the pure elements = 0.041 eV per atom; M_tot = 0.000 μB per formula unit; electronic total energy = -4.882 eV/atom
1.0
2.493 -7.467 0.000
2.493 7.467 0.000
0.000 0.000 9.955
Pm Nd Er Sc
2 2 6 2
direct
0.002 0.998 0.750
0.998 0.002 0.250
0.500 0.500 0.000
0.500 0.500 0.500
0.169 0.831 0.000
0.169 0.831 0.500
0.329 0.671 0.750
0.671 0.329 0.250
0.831 0.169 0.000
0.831 0.169 0.500
0.331 0.669 0.250
0.669 0.331 0.750


PBE PmNdEr2Sc4, optimized geometry; energy of formation from the pure elements = 0.431 eV per atom; M_tot = 3.290 μB per formula unit; electronic total energy = -5.065 eV/atom
1.0
-3.270 5.666 6.346
3.270 -5.666 6.346
3.270 5.666 -6.346
Pm Nd Er Sc
2 2 4 8
direct
0.000 0.000 0.000
0.500 0.000 0.500
0.500 0.000 0.000
0.500 0.500 0.500
0.000 0.000 0.500
0.000 0.500 0.000
0.000 0.500 0.500
0.500 0.500 0.000
0.245 0.748 0.496
0.246 0.247 0.501
0.246 0.746 0.999
0.248 0.252 0.996
0.752 0.748 0.004
0.754 0.254 0.001
0.754 0.753 0.499
0.755 0.252 0.504


PBE Pm2NdEr4Sc, optimized geometry; energy of formation from the pure elements = 0.420 eV per atom; M_tot = 1.397 μB per formula unit; electronic total energy = -4.437 eV/atom
1.0
-3.368 5.847 6.545
3.368 -5.847 6.545
3.368 5.847 -6.545
Pm Nd Er Sc
4 2 8 2
direct
0.000 0.000 0.000
0.500 0.000 0.000
0.500 0.000 0.500
0.500 0.500 0.500
0.000 0.500 0.500
0.500 0.500 0.000
0.234 0.250 0.984
0.234 0.750 0.484
0.236 0.236 0.500
0.236 0.736 0.000
0.764 0.264 0.000
0.764 0.764 0.500
0.766 0.250 0.516
0.766 0.750 0.016
0.000 0.000 0.500
0.000 0.500 0.000


PBE Pm2NdEr5Sc, optimized geometry; energy of formation from the pure elements = 0.162 eV per atom; M_tot = 0.000 μB per formula unit; electronic total energy = -4.661 eV/atom
1.0
2.785 -9.828 0.000
2.785 9.828 0.000
0.000 0.000 10.418
Pm Nd Er Sc
4 2 10 2
direct
0.112 0.888 0.500
0.115 0.885 0.919
0.885 0.115 0.419
0.888 0.112 0.000
0.414 0.586 0.642
0.586 0.414 0.142
0.018 0.982 0.206
0.277 0.723 0.508
0.297 0.703 0.890
0.376 0.624 0.204
0.482 0.518 0.924
0.518 0.482 0.424
0.624 0.376 0.704
0.703 0.297 0.390
0.723 0.277 0.008
0.982 0.018 0.706
0.197 0.803 0.199
0.803 0.197 0.699


PBE PmNd2Er5Sc, optimized geometry; energy of formation from the pure elements = 0.272 eV per atom; M_tot = 0.000 μB per formula unit; electronic total energy = -4.554 eV/atom
1.0
-4.305 4.305 7.671
4.305 -4.305 7.671
4.305 4.305 -7.671
Pm Nd Er Sc
2 4 10 2
direct
0.250 0.250 0.000
0.750 0.750 0.000
0.119 0.619 0.738
0.381 0.119 0.500
0.619 0.881 0.500
0.881 0.381 0.262
0.000 0.000 0.000
0.066 0.152 0.500
0.152 0.652 0.086
0.348 0.434 0.500
0.434 0.934 0.086
0.500 0.500 0.000
0.566 0.066 0.914
0.652 0.566 0.500
0.848 0.348 0.914
0.934 0.848 0.500
0.250 0.750 0.500
0.750 0.250 0.500


PBE Pm6Nd3Er2Sc, optimized geometry; energy of formation from the pure elements = 0.030 eV per atom; M_tot = 0.000 μB per formula unit; electronic total energy = -4.825 eV/atom
1.0
3.128 -5.420 0.000
3.128 5.420 0.000
-2.086 0.000 11.700
Pm Nd Er Sc
6 3 2 1
direct
0.081 0.411 0.242
0.250 0.250 0.757
0.411 0.081 0.242
0.589 0.919 0.758
0.750 0.750 0.243
0.919 0.589 0.758
0.167 0.833 0.500
0.500 0.500 0.500
0.833 0.167 0.500
0.333 0.667 0.000
0.667 0.333 0.000
0.000 0.000 0.000


PBE PmNd4ErSe8, optimized geometry; M_tot = 0.008 μB per formula unit; electronic total energy = -5.743 eV/atom; formation energy (no corrections) = -1.72 eV per atom
1.0
4.321 2.495 7.049
-4.321 2.495 7.049
0.000 -4.989 7.049
Pm Nd Er Se
1 4 1 8
direct
0.000 0.000 0.000
0.000 0.000 0.493
0.000 0.493 0.000
0.493 0.000 0.000
0.623 0.623 0.623
0.373 0.373 0.373
0.222 0.758 0.758
0.244 0.244 0.758
0.244 0.758 0.244
0.245 0.245 0.245
0.756 0.756 0.756
0.758 0.222 0.758
0.758 0.244 0.244
0.758 0.758 0.222


PBE Pm3Nd2ErSe6, optimized geometry; M_tot = 0.000 μB per formula unit; electronic total energy = -5.917 eV/atom; formation energy (no corrections) = -1.81 eV per atom
1.0
9.103 -2.081 0.000
9.103 2.081 0.000
-1.903 0.000 8.196
Pm Nd Er Se
3 2 1 6
direct
0.000 0.000 0.000
0.329 0.329 0.666
0.671 0.671 0.334
0.331 0.331 0.164
0.669 0.669 0.836
0.000 0.000 0.500
0.161 0.161 0.578
0.165 0.165 0.085
0.498 0.498 0.738
0.502 0.502 0.262
0.835 0.835 0.915
0.839 0.839 0.422


PBE Pm2NdErSe5, optimized geometry; M_tot = 0.001 μB per formula unit; electronic total energy = -5.308 eV/atom; formation energy (no corrections) = -1.28 eV per atom
1.0
5.105 0.000 0.000
0.000 5.105 0.000
0.000 0.000 10.972
Pm Nd Er Se
2 1 1 5
direct
0.000 0.000 0.167
0.000 0.000 0.833
0.500 0.500 0.500
0.500 0.500 0.000
0.000 0.000 0.500
0.000 0.500 0.000
0.500 0.000 0.000
0.500 0.500 0.248
0.500 0.500 0.752


PBE Pm4Nd3ErSe8, optimized geometry; M_tot = 0.000 μB per formula unit; electronic total energy = -5.919 eV/atom; formation energy (no corrections) = -1.81 eV per atom
1.0
4.195 2.422 6.836
-4.195 2.422 6.836
0.000 -4.844 6.836
Pm Nd Er Se
4 3 1 8
direct
0.000 0.000 0.000
0.000 0.500 0.500
0.500 0.000 0.500
0.500 0.500 0.000
0.000 0.000 0.500
0.000 0.500 0.000
0.500 0.000 0.000
0.500 0.500 0.500
0.251 0.251 0.251
0.256 0.256 0.742
0.256 0.742 0.256
0.258 0.744 0.744
0.742 0.256 0.256
0.744 0.258 0.744
0.744 0.744 0.258
0.749 0.749 0.749


PBE Pm2Nd3ErSe6, optimized geometry; M_tot = 0.000 μB per formula unit; electronic total energy = -5.923 eV/atom; formation energy (no corrections) = -1.82 eV per atom
1.0
3.610 -6.283 0.000
3.610 6.283 0.000
-2.415 0.000 6.868
Pm Nd Er Se
2 3 1 6
direct
0.167 0.833 0.000
0.833 0.167 0.000
0.000 0.000 0.500
0.327 0.673 0.500
0.673 0.327 0.500
0.500 0.500 0.000
0.097 0.420 0.760
0.258 0.258 0.245
0.420 0.097 0.760
0.580 0.903 0.240
0.742 0.742 0.755
0.903 0.580 0.240


PBE PmNd2ErSe6, optimized geometry; M_tot = 0.000 μB per formula unit; electronic total energy = -5.815 eV/atom; formation energy (no corrections) = -1.84 eV per atom
1.0
3.695 2.134 6.560
-3.695 2.134 6.560
0.000 -4.267 6.560
Pm Nd Er Se
1 2 1 6
direct
0.000 0.000 0.000
0.296 0.296 0.296
0.799 0.799 0.799
0.497 0.497 0.497
0.110 0.702 0.394
0.215 0.605 0.881
0.394 0.110 0.702
0.605 0.881 0.215
0.702 0.394 0.110
0.881 0.215 0.605


PBE PmNd3Er3Se8, optimized geometry; M_tot = 0.000 μB per formula unit; electronic total energy = -5.881 eV/atom; formation energy (no corrections) = -1.84 eV per atom
1.0
4.111 2.373 6.783
-4.111 2.373 6.783
0.000 -4.747 6.783
Pm Nd Er Se
1 3 3 8
direct
0.000 0.000 0.000
0.000 0.000 0.500
0.000 0.500 0.000
0.500 0.000 0.000
0.000 0.500 0.500
0.500 0.000 0.500
0.500 0.500 0.000
0.255 0.255 0.255
0.256 0.256 0.733
0.256 0.733 0.256
0.267 0.744 0.744
0.733 0.256 0.256
0.744 0.267 0.744
0.744 0.744 0.267
0.745 0.745 0.745


PBE PmNd2Er3Se6, optimized geometry; M_tot = 0.000 μB per formula unit; electronic total energy = -5.847 eV/atom; formation energy (no corrections) = -1.77 eV per atom
1.0
9.069 -2.037 0.000
9.069 2.037 0.000
-2.215 0.000 8.084
Pm Nd Er Se
1 2 3 6
direct
0.000 0.000 0.000
0.333 0.333 0.667
0.667 0.667 0.333
0.000 0.000 0.500
0.333 0.333 0.167
0.667 0.667 0.833
0.163 0.163 0.593
0.170 0.170 0.072
0.496 0.496 0.258
0.504 0.504 0.742
0.830 0.830 0.928
0.837 0.837 0.407